{"formula": "Nb2CuIrS", "functional": "PBE", "state": "relaxed", "lattice_angstrom": [[4.948, 0.000, 0.000], [0.000, 4.948, 0.000], [0.000, 0.000, 4.404]], "species": ["Nb", "Nb", "Cu", "Ir", "S"], "frac_coords": [[0.000, 0.500, 0.000], [0.500, 0.000, 0.000], [0.000, 0.000, 0.500], [0.500, 0.500, 0.000], [0.500, 0.500, 0.500]], "raw_formation_energy_kj_per_mol_fu": 565, "rho_g_cm3": 7.296, "total_energy_ev_per_atom": -6.2739}

{"formula": "NbCuSbIr2", "functional": "PBE", "state": "relaxed", "lattice_angstrom": [[4.824, 0.000, 0.000], [0.000, 4.824, 0.000], [0.000, 0.000, 4.547]], "species": ["Nb", "Cu", "Sb", "Ir", "Ir"], "frac_coords": [[0.000, 0.000, 0.000], [0.500, 0.500, 0.000], [0.500, 0.500, 0.500], [0.000, 0.500, 0.500], [0.500, 0.000, 0.500]], "raw_formation_energy_kj_per_mol_fu": 705, "rho_g_cm3": 10.397, "total_energy_ev_per_atom": -5.7416}

{"formula": "TiNbCuIr", "functional": "PBE", "state": "relaxed", "lattice_angstrom": [[0.000, 3.145, 3.145], [3.145, 0.000, 3.145], [3.145, 3.145, 0.000]], "species": ["Ti", "Nb", "Cu", "Ir"], "frac_coords": [[0.000, 0.000, 0.000], [0.500, 0.500, 0.500], [0.750, 0.750, 0.750], [0.250, 0.250, 0.250]], "e_form_ev_per_atom": -0.266, "rho_g_cm3": 10.581, "total_energy_ev_per_atom": -7.9969}

{"formula": "TmNbCuIr", "functional": "PBE", "state": "relaxed", "lattice_angstrom": [[0.000, 3.282, 3.282], [3.282, 0.000, 3.282], [3.282, 3.282, 0.000]], "species": ["Tm", "Nb", "Cu", "Ir"], "frac_coords": [[0.000, 0.000, 0.000], [0.500, 0.500, 0.500], [0.250, 0.250, 0.250], [0.750, 0.750, 0.750]], "e_form_ev_per_atom": -0.295, "rho_g_cm3": 12.153, "total_energy_ev_per_atom": -7.1697}

{"formula": "NbZnCuIr2", "functional": "PBE", "state": "relaxed", "lattice_angstrom": [[4.536, 0.000, 0.000], [0.000, 4.536, 0.000], [0.000, 0.000, 4.170]], "species": ["Nb", "Zn", "Cu", "Ir", "Ir"], "frac_coords": [[0.000, 0.000, 0.000], [0.500, 0.500, 0.000], [0.500, 0.500, 0.500], [0.000, 0.500, 0.500], [0.500, 0.000, 0.500]], "e_form_ev_per_atom": 0.948, "rho_g_cm3": 11.732, "total_energy_ev_per_atom": -5.6843}

{"formula": "ZrNbCuIr", "functional": "PBE", "state": "relaxed", "lattice_angstrom": [[0.000, 3.240, 3.240], [3.240, 0.000, 3.240], [3.240, 3.240, 0.000]], "species": ["Zr", "Nb", "Cu", "Ir"], "frac_coords": [[0.000, 0.000, 0.000], [0.500, 0.500, 0.500], [0.250, 0.250, 0.250], [0.750, 0.750, 0.750]], "e_form_ev_per_atom": -0.256, "rho_g_cm3": 10.739, "total_energy_ev_per_atom": -8.1500}

{"formula": "Nd3Cu2Ir", "functional": "PBE", "state": "relaxed", "lattice_angstrom": [[11.928, 0.000, 0.000], [0.000, 4.286, 0.000], [0.000, 0.000, 11.546]], "species": ["Nd", "Nd", "Nd", "Nd", "Nd", "Nd", "Nd", "Nd", "Nd", "Nd", "Nd", "Nd", "Cu", "Cu", "Cu", "Cu", "Cu", "Cu", "Cu", "Cu", "Ir", "Ir", "Ir", "Ir"], "frac_coords": [[0.052, 0.250, 0.123], [0.117, 0.750, 0.555], [0.226, 0.250, 0.795], [0.274, 0.750, 0.295], [0.383, 0.250, 0.055], [0.448, 0.750, 0.623], [0.552, 0.250, 0.377], [0.617, 0.750, 0.945], [0.726, 0.250, 0.705], [0.774, 0.750, 0.205], [0.883, 0.250, 0.445], [0.948, 0.750, 0.877], [0.013, 0.750, 0.307], [0.197, 0.750, 0.999], [0.303, 0.250, 0.499], [0.487, 0.250, 0.807], [0.513, 0.750, 0.193], [0.697, 0.750, 0.501], [0.803, 0.250, 0.001], [0.987, 0.250, 0.693], [0.122, 0.250, 0.368], [0.378, 0.750, 0.868], [0.622, 0.250, 0.132], [0.878, 0.750, 0.632]], "e_form_ev_per_atom": -0.328, "rho_g_cm3": 8.463, "total_energy_ev_per_atom": -5.5537}

{"formula": "NdCu4Ir", "functional": "PBE", "state": "relaxed", "lattice_angstrom": [[0.000, 3.565, 3.565], [3.565, 0.000, 3.565], [3.565, 3.565, 0.000]], "species": ["Nd", "Cu", "Cu", "Cu", "Cu", "Ir"], "frac_coords": [[0.000, 0.000, 0.000], [0.376, 0.376, 0.376], [0.376, 0.376, 0.871], [0.376, 0.871, 0.376], [0.871, 0.376, 0.376], [0.750, 0.750, 0.750]], "e_form_ev_per_atom": -0.141, "rho_g_cm3": 10.825, "total_energy_ev_per_atom": -5.1436}

Copy entry 2 word for word.
{"formula": "NbCuSbIr2", "functional": "PBE", "state": "relaxed", "lattice_angstrom": [[4.824, 0.000, 0.000], [0.000, 4.824, 0.000], [0.000, 0.000, 4.547]], "species": ["Nb", "Cu", "Sb", "Ir", "Ir"], "frac_coords": [[0.000, 0.000, 0.000], [0.500, 0.500, 0.000], [0.500, 0.500, 0.500], [0.000, 0.500, 0.500], [0.500, 0.000, 0.500]], "raw_formation_energy_kj_per_mol_fu": 705, "rho_g_cm3": 10.397, "total_energy_ev_per_atom": -5.7416}